Entry 1:
A relaxed structure of Li2RePt, computed with PBE-GGA.

The value obtained for the energy of formation from the pure elements is -0.05 eV/atom. As for the volume: 14.876 Å³/atom.

```
data_Li2RePt
_chemical_formula_sum 'Li2 Re1 Pt1'
_symmetry_space_group_name_H-M 'P m m 2'
_symmetry_Int_Tables_number 25
_cell_length_a 2.663
_cell_length_b 4.157
_cell_length_c 5.374
_cell_angle_alpha 90.00
_cell_angle_beta 90.00
_cell_angle_gamma 90.00
loop_
_symmetry_equiv_pos_as_xyz
'x,y,z'
'-x,-y,z'
'-x,y,z'
'x,-y,z'
loop_
_atom_site_label
_atom_site_fract_x
_atom_site_fract_y
_atom_site_fract_z
Li1 0.000 0.000 0.000
Li2 0.500 0.500 0.202
Re1 0.500 0.500 0.686
Pt1 0.000 0.000 0.510
```

---

Entry 2:
A relaxed structure of K2NdBrO2, computed with PBE-GGA.

Its uncorrected formation energy is -2.1027 eV/atom. As for the volume: 24.078 Å³/atom.

```
data_K2NdBrO2
_chemical_formula_sum 'K2 Nd1 Br1 O2'
_symmetry_space_group_name_H-M 'P 4/m m m'
_symmetry_Int_Tables_number 123
_symmetry_space_group_name_Hall '-P 4 2'
_cell_length_a 4.654
_cell_length_b 4.654
_cell_length_c 6.671
_cell_angle_alpha 90.00
_cell_angle_beta 90.00
_cell_angle_gamma 90.00
loop_
_atom_site_label
_atom_site_fract_x
_atom_site_fract_y
_atom_site_fract_z
K1 0.000 0.000 0.239
Nd1 0.500 0.500 0.000
Br1 0.500 0.500 0.500
O1 0.000 0.500 0.000
```

---

Entry 3:
A relaxed structure of CrRuW, computed with PBE-GGA.

The value obtained for the energy of formation from the pure elements is 0.21 eV/atom. As for the volume: 14.148 Å³/atom.

```
data_CrRuW
_chemical_formula_sum 'Cr1 Ru1 W1'
_symmetry_space_group_name_H-M 'P 3 m 1'
_symmetry_Int_Tables_number 156
_cell_length_a 4.2614
_cell_length_b 4.2614
_cell_length_c 2.6989
_cell_angle_alpha 90.00
_cell_angle_beta 90.00
_cell_angle_gamma 120.00
loop_
_symmetry_equiv_pos_as_xyz
'x,y,z'
'-y,x-y,z'
'-x+y,-x,z'
'-y,-x,z'
'-x+y,y,z'
'x,x-y,z'
loop_
_atom_site_label
_atom_site_fract_x
_atom_site_fract_y
_atom_site_fract_z
Cr1 0.0000 0.0000 0.0000
Ru1 0.6667 0.3333 0.3794
W1 0.3333 0.6667 0.7485
```

---

Entry 4:
A relaxed structure of Pm3Ga2Pd, computed with PBE-GGA.

The value obtained for the energy of formation from the pure elements is -0.62 eV/atom. As for the volume: 24.240 Å³/atom.

```
data_Pm3Ga2Pd
_chemical_formula_sum 'Pm3 Ga2 Pd1'
_symmetry_space_group_name_H-M 'P 4/m m m'
_symmetry_Int_Tables_number 123
_symmetry_space_group_name_Hall '-P 4 2'
_cell_length_a 3.646
_cell_length_b 3.646
_cell_length_c 10.942
_cell_angle_alpha 90.00
_cell_angle_beta 90.00
_cell_angle_gamma 90.00
loop_
_atom_site_label
_atom_site_fract_x
_atom_site_fract_y
_atom_site_fract_z
Pm1 0.000 0.000 0.000
Pm2 0.000 0.000 0.338
Ga1 0.500 0.500 0.169
Pd1 0.500 0.500 0.500
```

---

Entry 5:
A relaxed structure of Sr3CaBe2O6, computed with PBE-GGA.

Its uncorrected formation energy is -2.6478 eV/atom. As for the volume: 15.249 Å³/atom.

```
data_Sr3CaBe2O6
_chemical_formula_sum 'Sr3 Ca1 Be2 O6'
_symmetry_space_group_name_H-M 'P -3 m 1'
_symmetry_Int_Tables_number 164
_symmetry_space_group_name_Hall '-P 3 2"'
_cell_length_a 5.6972
_cell_length_b 5.6972
_cell_length_c 6.5096
_cell_angle_alpha 90.00
_cell_angle_beta 90.00
_cell_angle_gamma 120.00
loop_
_atom_site_label
_atom_site_fract_x
_atom_site_fract_y
_atom_site_fract_z
Sr1 0.0000 0.0000 0.0000
Sr2 0.3333 0.6667 0.6804
Ca1 0.0000 0.0000 0.5000
Be1 0.3333 0.6667 0.2505
O1 0.1790 0.3579 0.2741
```

---

Entry 6:
A relaxed structure of LiTb4SmS8, computed with PBE-GGA.

Its uncorrected formation energy is -1.9572 eV/atom. As for the volume: 26.623 Å³/atom.

```
data_LiTb4SmS8
_chemical_formula_sum 'Li3 Tb12 Sm3 S24'
_symmetry_space_group_name_H-M 'R 3 m'
_symmetry_Int_Tables_number 160
_symmetry_space_group_name_Hall 'R 3 -2"'
_cell_length_a 8.0563
_cell_length_b 8.0563
_cell_length_c 19.8932
_cell_angle_alpha 90.00
_cell_angle_beta 90.00
_cell_angle_gamma 120.00
loop_
_atom_site_label
_atom_site_fract_x
_atom_site_fract_y
_atom_site_fract_z
Li1 0.0000 0.0000 0.0000
Tb1 0.0000 0.0000 0.7496
Tb2 0.0120 0.5060 0.8767
Sm1 0.0000 0.0000 0.3711
S1 0.0000 0.0000 0.1323
S2 0.0000 0.0000 0.6166
S3 0.0196 0.5098 0.1294
S4 0.1744 0.3488 0.9551
```

---

Values of total moment, in order: 0.00; 0.00; 0.00; 0.00; 0.00; 0.00, all in μB/f.u..